VASP calculation (PBEsol) on a geometry-optimized ReAsPt3 structure.

## Properties
* total magnetic moment: 0.00 μB/cell
* crystal system: cubic

```
data_ReAsPt3
_cell_length_a 4.751
_cell_length_b 4.751
_cell_length_c 4.751
_cell_angle_alpha 90.00
_cell_angle_beta 90.00
_cell_angle_gamma 90.00
_space_group_name_H-M_alt 'P m -3 m'
_space_group_IT_number 221
_space_group_name_Hall '-P 4 2 3'
loop_
_atom_site_label
_atom_site_type_symbol
_atom_site_fract_x
_atom_site_fract_y
_atom_site_fract_z
Re1 Re 0.000 0.000 0.000
As1 As 0.500 0.500 0.500
Pt1 Pt 0.000 0.000 0.500
```

VASP calculation (PBEsol) on a geometry-optimized ReAsPtSe2 structure.

## Properties
* total magnetic moment: 2.93 μB/cell
* E_form (uncorrected): 1.449 eV per atom
* crystal system: tetragonal

```
data_ReAsPtSe2
_cell_length_a 4.890
_cell_length_b 4.890
_cell_length_c 4.673
_cell_angle_alpha 90.00
_cell_angle_beta 90.00
_cell_angle_gamma 90.00
_space_group_name_H-M_alt 'P 4/m m m'
_space_group_IT_number 123
_space_group_name_Hall '-P 4 2'
loop_
_atom_site_label
_atom_site_type_symbol
_atom_site_fract_x
_atom_site_fract_y
_atom_site_fract_z
Re1 Re 0.000 0.000 0.000
As1 As 0.500 0.500 0.000
Pt1 Pt 0.500 0.500 0.500
Se1 Se 0.000 0.500 0.500
```

VASP calculation (PBEsol) on a geometry-optimized AsPtRh3 structure.

## Properties
* total magnetic moment: 1.34 μB/cell
* crystal system: cubic

```
data_AsPtRh3
_cell_length_a 4.679
_cell_length_b 4.679
_cell_length_c 4.679
_cell_angle_alpha 90.00
_cell_angle_beta 90.00
_cell_angle_gamma 90.00
_space_group_name_H-M_alt 'P m -3 m'
_space_group_IT_number 221
_space_group_name_Hall '-P 4 2 3'
loop_
_atom_site_label
_atom_site_type_symbol
_atom_site_fract_x
_atom_site_fract_y
_atom_site_fract_z
As1 As 0.000 0.000 0.000
Pt1 Pt 0.500 0.500 0.500
Rh1 Rh 0.000 0.500 0.500
```

| no. | uncorrected energy (eV per cell) |
| --- | --- |
| 1 | -31.93 |
| 2 | -25.86 |
| 3 | -28.34 |